Sr3Zn4Ga4 | PBE-GGA | relaxed

The structure in CIF format:
```
data_Sr3Zn4Ga4
_space_group_name_H-M_alt 'P -1'
_space_group_IT_number 2
_space_group_name_Hall '-P 1'
_cell_length_a 4.421
_cell_length_b 4.467
_cell_length_c 13.472
_cell_angle_alpha 99.49
_cell_angle_beta 99.40
_cell_angle_gamma 90.10
loop_
_atom_site_label
_atom_site_type_symbol
_atom_site_fract_x
_atom_site_fract_y
_atom_site_fract_z
_atom_site_occupancy
Sr1 Sr 0.000 0.000 0.000 1
Sr2 Sr 0.151 0.652 0.302 1
Zn1 Zn 0.249 0.249 0.500 1
Zn2 Zn 0.403 0.902 0.805 1
Ga1 Ga 0.305 0.802 0.608 1
Ga2 Ga 0.449 0.450 0.900 1
```

Output
V: 23.53 A^3/atom
energy relative to the elements: -365 meV/atom

BeRe2As | PBE-GGA | relaxed

The structure in CIF format:
```
data_BeRe2As
_space_group_name_H-M_alt 'R -3 m'
_space_group_IT_number 166
_space_group_name_Hall '-R 3 2"'
_cell_length_a 2.8771
_cell_length_b 2.8771
_cell_length_c 23.0174
_cell_angle_alpha 90.00
_cell_angle_beta 90.00
_cell_angle_gamma 120.00
loop_
_atom_site_label
_atom_site_type_symbol
_atom_site_fract_x
_atom_site_fract_y
_atom_site_fract_z
_atom_site_occupancy
Be1 Be 0.0000 0.0000 0.0000 1
Re1 Re 0.0000 0.0000 0.2531 1
As1 As 0.0000 0.0000 0.5000 1
```

Output
V: 13.75 A^3/atom
polymorph energy (0 for the lowest one): 0.435 eV/atom
energy relative to the elements: 397 meV/atom

RbAg2Sn | PBE-GGA | relaxed

The structure in CIF format:
```
data_RbAg2Sn
_space_group_name_H-M_alt 'P n m a'
_space_group_IT_number 62
_space_group_name_Hall '-P 2ac 2n'
_cell_length_a 8.550
_cell_length_b 7.332
_cell_length_c 7.339
_cell_angle_alpha 90.00
_cell_angle_beta 90.00
_cell_angle_gamma 90.00
loop_
_atom_site_label
_atom_site_type_symbol
_atom_site_fract_x
_atom_site_fract_y
_atom_site_fract_z
_atom_site_occupancy
Rb1 Rb 0.007 0.250 0.139 1
Ag1 Ag 0.155 0.057 0.577 1
Sn1 Sn 0.153 0.750 0.344 1
```

Output
V: 28.75 A^3/atom
energy relative to the elements: -43 meV/atom

energy relative to the elements of number 3 (RbAg2Sn)?
-43 meV/atom

Which value of energy relative to the elements does entry 2 give?
397 meV/atom

The highest energy relative to the elements belongs to which entry?
BeRe2As